A relaxed Tb12Tm2Zr crystal, computed with GGA-PBE.

The density is 8.21 g/cm3. The value obtained for the total moment is 0.0 Bohr magnetons per cell. The formation energy comes out at 0.159 eV/atom.

It has space group P2/m (No. 10), with a = 3.542 Å, b = 5.516 Å, c = 24.217 Å, α = 90.00°, β = 92.42° and γ = 90.00°. The inequivalent atoms are Tb at (0.149, 0.000, 0.124), Tb at (0.233, 0.500, 0.444), Tb at (0.258, 0.500, 0.941), Tb at (0.273, 0.000, 0.578), Tb at (0.301, 0.500, 0.671), Tb at (0.348, 0.500, 0.802), Tm at (0.181, 0.000, 0.275) and Zr at (0.500, 0.000, 0.000).